[1]
An optimized crystal structure of NbNiPd3, computed with GGA-PBE.

calculated formation energy	1.242	eV per atom
energy above the most stable polymorph in this dataset	1121	meV/atom
DOS at the Fermi energy	5.76	states/eV/f.u.

abc: 4.7903 4.7903 4.7903
angles: 90.00 90.00 90.00
Sites, in units of the cell vectors:
Nb 0.0000 0.0000 0.0000
Ni 0.5000 0.5000 0.5000
Pd 0.0000 0.0000 0.5000
Pd 0.0000 0.5000 0.0000
Pd 0.5000 0.0000 0.0000

=====

[2]
An optimized crystal structure of NbNi2Pd, computed with GGA-PBE.

calculated formation energy	-0.163	eV per atom
energy above the most stable polymorph in this dataset	128	meV/atom
DOS at the Fermi energy	5.66	states/eV/f.u.

abc: 3.9276 3.9276 3.5548
angles: 90.00 90.00 90.00
Sites, in units of the cell vectors:
Nb 0.0000 0.0000 0.0000
Ni 0.0000 0.5000 0.5000
Ni 0.5000 0.0000 0.5000
Pd 0.5000 0.5000 0.0000

=====

[3]
An optimized crystal structure of NbNi2Pd, computed with GGA-PBE.

calculated formation energy	-0.183	eV per atom
energy above the most stable polymorph in this dataset	107	meV/atom
DOS at the Fermi energy	5.47	states/eV/f.u.

abc: 6.0302 6.0302 6.0302
angles: 90.00 90.00 90.00
Sites, in units of the cell vectors:
Nb 0.0000 0.0000 0.0000
Nb 0.0000 0.5000 0.5000
Nb 0.5000 0.0000 0.5000
Nb 0.5000 0.5000 0.0000
Ni 0.2500 0.2500 0.2500
Ni 0.2500 0.2500 0.7500
Ni 0.2500 0.7500 0.2500
Ni 0.2500 0.7500 0.7500
Ni 0.7500 0.2500 0.2500
Ni 0.7500 0.2500 0.7500
Ni 0.7500 0.7500 0.2500
Ni 0.7500 0.7500 0.7500
Pd 0.0000 0.0000 0.5000
Pd 0.0000 0.5000 0.0000
Pd 0.5000 0.0000 0.0000
Pd 0.5000 0.5000 0.5000

=====

[4]
An optimized crystal structure of NbNi2Pd3, computed with GGA-PBE.

calculated formation energy	-0.225	eV per atom
energy above the most stable polymorph in this dataset	0	meV/atom
DOS at the Fermi energy	5.28	states/eV/f.u.

abc: 3.8939 11.4653 3.8511
angles: 90.00 90.00 90.00
Sites, in units of the cell vectors:
Nb 0.0000 0.0000 0.0000
Nb 0.5000 0.5000 0.0000
Ni 0.0000 0.3397 0.0000
Ni 0.0000 0.6603 0.0000
Ni 0.5000 0.1603 0.0000
Ni 0.5000 0.8397 0.0000
Pd 0.0000 0.1694 0.5000
Pd 0.0000 0.5000 0.5000
Pd 0.0000 0.8306 0.5000
Pd 0.5000 0.0000 0.5000
Pd 0.5000 0.3306 0.5000
Pd 0.5000 0.6694 0.5000

=====

Number 1: DFT total energy -25.219 eV/cell. Number 2: DFT total energy -27.476 eV/cell. Number 3: DFT total energy -110.236 eV/cell. Number 4: DFT total energy -77.119 eV/cell.